Below is crystalline TaHIr2Os at its relaxed geometry, with properties calculated at the PBE level.

Structure (CIF):
```
data_TaHIr2Os
_chemical_formula_sum 'Ta1 H1 Ir2 Os1'
_cell_length_a 3.946
_cell_length_b 3.946
_cell_length_c 4.025
_cell_angle_alpha 90.00
_cell_angle_beta 90.00
_cell_angle_gamma 90.00
_space_group_name_H-M_alt 'P 1'
_space_group_IT_number 1
loop_
_space_group_symop_operation_xyz
'x,y,z'
loop_
_atom_site_label
_atom_site_type_symbol
_atom_site_fract_x
_atom_site_fract_y
_atom_site_fract_z
_atom_site_occupancy
H1 H 0.000 0.000 0.000 1
Ir1 Ir 0.000 0.500 0.000 1
Ir2 Ir 0.500 0.000 0.000 1
Os1 Os 0.000 0.000 0.500 1
Ta1 Ta 0.500 0.500 0.500 1
```

Summary:
The volume is 63 Å³ per cell. The size of the total moment is 0.0 μB per formula unit. The final energy is -9.1499 eV per atom. As for the symmetry: P4/mmm, No. 123. The distance to the lowest polymorph of the same formula comes out at 0 meV per atom.